# Zr2FeP

A relaxed Zr2FeP crystal (PBE, Alexandria via LeMat-Bulk).

Properties
The calculation puts the density of states at the Fermi level at 6.499 states/eV per cell. The value obtained for the formation energy is -0.485 eV per atom.

a = 6.137 Å, b = 3.547 Å, c = 7.101 Å
α = 90.00°, β = 106.84°, γ = 90.00°
Atoms (fractional coordinates):
Zr 0.247 0.000 0.239
Zr 0.253 0.500 0.761
Zr 0.747 0.500 0.239
Zr 0.753 0.000 0.761
Fe 0.000 0.000 0.500
Fe 0.500 0.500 0.500
P 0.000 0.500 0.000
P 0.500 0.000 0.000



# HfCo2ReB

A relaxed HfCo2ReB crystal (PBE, Alexandria via LeMat-Bulk).

Properties
The calculation puts the density of states at the Fermi level at 3.408 states/eV per cell. The value obtained for the formation energy is -0.297 eV per atom.

a = 3.910 Å, b = 3.910 Å, c = 4.161 Å
α = 90.00°, β = 90.00°, γ = 90.00°
Atoms (fractional coordinates):
Hf 0.000 0.000 0.000
Co 0.000 0.500 0.500
Co 0.500 0.000 0.500
Re 0.500 0.500 0.000
B 0.500 0.500 0.500



# ZnCd5Ag8

A relaxed ZnCd5Ag8 crystal (PBE, Alexandria via LeMat-Bulk).

Properties
The calculation puts the density of states at the Fermi level at 3.614 states/eV per cell. The value obtained for the formation energy is 0.047 eV per atom.

a = 7.127 Å, b = 7.127 Å, c = 7.127 Å
α = 110.63°, β = 110.63°, γ = 107.18°
Atoms (fractional coordinates):
Zn 0.000 0.000 0.000
Cd 0.204 0.300 0.667
Cd 0.250 0.750 0.500
Cd 0.463 0.796 0.096
Cd 0.633 0.537 0.333
Cd 0.700 0.367 0.904
Ag 0.148 0.412 0.070
Ag 0.343 0.078 0.930
Ag 0.412 0.157 0.395
Ag 0.588 0.657 0.736
Ag 0.762 0.018 0.605
Ag 0.843 0.238 0.255
Ag 0.922 0.852 0.264
Ag 0.982 0.588 0.745



# Cd2CoRe

A relaxed Cd2CoRe crystal (PBE, Alexandria via LeMat-Bulk).

Properties
The calculation puts the density of states at the Fermi level at 6.921 states/eV per cell. Its energy above the lowest structure with this stoichiometry is 308 meV/atom. The value obtained for the formation energy is 0.532 eV per atom.

a = 2.766 Å, b = 4.839 Å, c = 10.135 Å
α = 90.00°, β = 90.00°, γ = 90.00°
Atoms (fractional coordinates):
Cd 0.000 0.000 0.000
Cd 0.000 0.500 0.210
Cd 0.500 0.000 0.710
Cd 0.500 0.500 0.500
Co 0.000 0.000 0.466
Co 0.500 0.500 0.966
Re 0.000 0.500 0.772
Re 0.500 0.000 0.272



# Pm5Dy4Ho2

A relaxed Pm5Dy4Ho2 crystal (PBE, Alexandria via LeMat-Bulk).

Properties
The calculation puts the density of states at the Fermi level at 15.529 states/eV per cell. Its energy above the lowest structure with this stoichiometry is 0 meV/atom. The value obtained for the formation energy is 0.074 eV per atom.

a = 8.994 Å, b = 8.994 Å, c = 11.610 Å
α = 93.94°, β = 93.94°, γ = 22.75°
Atoms (fractional coordinates):
Pm 0.000 0.000 0.000
Pm 0.323 0.323 0.930
Pm 0.403 0.403 0.464
Pm 0.597 0.597 0.536
Pm 0.677 0.677 0.070
Dy 0.141 0.141 0.795
Dy 0.464 0.464 0.740
Dy 0.536 0.536 0.260
Dy 0.859 0.859 0.205
Ho 0.216 0.216 0.353
Ho 0.784 0.784 0.647



# CsS3I

A relaxed CsS3I crystal (PBE, Alexandria via LeMat-Bulk).

Properties
Its energy above the lowest structure with this stoichiometry is 0 meV/atom. The calculation puts the energy relative to the elements, uncorrected at -2.24 eV per formula unit.

a = 8.843 Å, b = 9.817 Å, c = 10.151 Å
α = 90.00°, β = 108.63°, γ = 90.00°
Atoms (fractional coordinates):
Cs 0.236 0.034 0.298
Cs 0.236 0.466 0.798
Cs 0.764 0.534 0.202
Cs 0.764 0.966 0.702
S 0.275 0.567 0.208
S 0.275 0.933 0.708
S 0.395 0.655 0.383
S 0.395 0.845 0.883
S 0.424 0.228 0.624
S 0.424 0.272 0.124
S 0.576 0.728 0.876
S 0.576 0.772 0.376
S 0.605 0.155 0.117
S 0.605 0.345 0.617
S 0.725 0.067 0.292
S 0.725 0.433 0.792
I 0.031 0.731 0.029
I 0.031 0.769 0.529
I 0.969 0.231 0.471
I 0.969 0.269 0.971



Number 1: final energy -8.23 eV/atom. Number 2: final energy -8.95 eV/atom. Number 3: final energy -2.00 eV/atom. Number 4: final energy -4.81 eV/atom. Number 5: final energy -4.59 eV/atom. Number 6: final energy -3.41 eV/atom.